Entry from the Alexandria database: crystalline Mn2CrCl at its relaxed geometry (PBE).

The structure belongs to space group I-42d (No. 122); the cell edges are 5.074, 5.074 and 9.816 Å and the angles 90.00°, 90.00° and 90.00°. The inequivalent atoms are Mn at (0.247, 0.250, 0.125), Cr at (0.000, 0.000, 0.000) and Cl at (0.000, 0.000, 0.500).

The magnetization is 0.36 Bohr magnetons per cell. As for the crystal system: tetragonal. The value obtained for the formation energy (no corrections) is 947 meV per atom. The uncorrected energy comes out at -6.506 eV/atom. The density of states at the Fermi level comes out at 19.07 states/eV/cell.


Entry from the Alexandria database: crystalline ZrTlAu2 at its relaxed geometry (PBE).

The structure belongs to space group I-4m2 (No. 119); the cell edges are 4.741, 4.741 and 7.228 Å and the angles 90.00°, 90.00° and 90.00°. The inequivalent atoms are Zr at (0.000, 0.000, 0.000), Tl at (0.000, 0.500, 0.250), Au at (0.000, 0.000, 0.500) and Au at (0.000, 0.500, 0.750).

The magnetization is 0.00 Bohr magnetons per cell. As for the crystal system: tetragonal. The uncorrected energy comes out at -4.524 eV/atom. The calculation puts the energy of formation at -0.6 eV per formula unit. The density of states at the Fermi level comes out at 3.02 states/eV/cell.


Entry from the Alexandria database: crystalline Al2Rh2Pb at its relaxed geometry (PBE).

The structure belongs to space group P4/mbm (No. 127); the cell edges are 7.514, 7.514 and 2.962 Å and the angles 90.00°, 90.00° and 90.00°. The inequivalent atoms are Al at (0.139, 0.361, 0.000), Rh at (0.148, 0.648, 0.500) and Pb at (0.000, 0.000, 0.500).

The magnetization is 0.00 Bohr magnetons per cell. As for the crystal system: tetragonal. The uncorrected energy comes out at -5.688 eV/atom. The calculation puts the energy of formation at -2.5 eV per formula unit. The density of states at the Fermi level comes out at 6.65 states/eV/cell.


Entry from the Alexandria database: crystalline AgHgW2 at its relaxed geometry (PBE).

The structure belongs to space group Cmm2 (No. 35); the cell edges are 3.235, 4.659 and 9.522 Å and the angles 90.00°, 90.00° and 90.00°. The inequivalent atoms are Ag at (0.000, 0.000, 0.000), Hg at (0.000, 0.500, 0.736), W at (0.000, 0.000, 0.468) and W at (0.000, 0.500, 0.250).

The magnetization is 0.00 Bohr magnetons per cell. As for the crystal system: orthorhombic. The uncorrected energy comes out at -6.830 eV/atom. The calculation puts the energy of formation at 1.7 eV per formula unit. The density of states at the Fermi level comes out at 4.78 states/eV/cell.


Entry from the Alexandria database: crystalline Tb2Nd7Er at its relaxed geometry (PBE).

The structure belongs to space group Cmmm (No. 65); the cell edges are 8.817, 16.785 and 5.588 Å and the angles 90.00°, 90.00° and 90.00°. The inequivalent atoms are Tb at (0.000, 0.205, 0.000), Nd at (0.000, 0.000, 0.000), Nd at (0.000, 0.286, 0.500), Nd at (0.179, 0.389, 0.000) and Er at (0.000, 0.500, 0.500).

The magnetization is 0.00 Bohr magnetons per cell. As for the crystal system: orthorhombic. The uncorrected energy comes out at -4.084 eV/atom. The calculation puts the energy of formation at 6.4 eV per formula unit. The density of states at the Fermi level comes out at 30.40 states/eV/cell.


Entry from the Alexandria database: crystalline KZnPbCl6 at its relaxed geometry (PBE).

The structure belongs to space group P-31c (No. 163); the cell edges are 6.8274, 6.8274 and 13.7868 Å and the angles 90.00°, 90.00° and 120.00°. The inequivalent atoms are K at (0.0000, 0.0000, 0.0000), Zn at (0.3333, 0.6667, 0.2500), Pb at (0.3333, 0.6667, 0.7500) and Cl at (0.0278, 0.3866, 0.1417).

The magnetization is 0.11 Bohr magnetons per cell. As for the crystal system: trigonal. The value obtained for the formation energy (no corrections) is -1149 meV per atom. The uncorrected energy comes out at -3.056 eV/atom. The density of states at the Fermi level comes out at 12.96 states/eV/cell.


Entry from the Alexandria database: crystalline IrSe2Br at its relaxed geometry (PBE).

The structure belongs to space group P4/mmm (No. 123); the cell edges are 3.680, 3.680 and 7.288 Å and the angles 90.00°, 90.00° and 90.00°. The inequivalent atoms are Ir at (0.000, 0.000, 0.000), Se at (0.000, 0.500, 0.500) and Br at (0.500, 0.500, 0.000).

The magnetization is 1.25 Bohr magnetons per cell. As for the crystal system: tetragonal. The value obtained for the formation energy (no corrections) is 900 meV per atom. The uncorrected energy comes out at -3.476 eV/atom. The density of states at the Fermi level comes out at 5.53 states/eV/cell.


Entry from the Alexandria database: crystalline LaCoTc2C at its relaxed geometry (PBE).

The structure belongs to space group P4/mmm (No. 123); the cell edges are 4.812, 4.812 and 4.243 Å and the angles 90.00°, 90.00° and 90.00°. The inequivalent atoms are La at (0.000, 0.000, 0.000), Co at (0.500, 0.500, 0.500), Tc at (0.000, 0.500, 0.000) and C at (0.000, 0.000, 0.500).

The magnetization is 1.26 Bohr magnetons per cell. As for the crystal system: tetragonal. The uncorrected energy comes out at -5.506 eV/atom. The calculation puts the energy of formation at 14.5 eV per formula unit. The density of states at the Fermi level comes out at 10.13 states/eV/cell.


Entry from the Alexandria database: crystalline Tb6Pm8Pr at its relaxed geometry (PBE).

The structure belongs to space group R-3 (No. 148, hexagonal axes); the cell edges are 9.1659, 9.1659 and 20.9468 Å and the angles 90.00°, 90.00° and 120.00°. The inequivalent atoms are Tb at (0.0481, 0.2430, 0.2065), Pm at (0.0000, 0.0000, 0.0774), Pm at (0.0803, 0.5554, 0.3070) and Pr at (0.0000, 0.0000, 0.5000).

The magnetization is 0.00 Bohr magnetons per cell. As for the crystal system: trigonal. The uncorrected energy comes out at -4.580 eV/atom. The calculation puts the energy of formation at 1.9 eV per formula unit. The density of states at the Fermi level comes out at 66.68 states/eV/cell.


Entry from the Alexandria database: crystalline AcPrPa at its relaxed geometry (PBE).

The structure belongs to space group R3m (No. 160, hexagonal axes); the cell edges are 3.6299, 3.6299 and 27.0368 Å and the angles 90.00°, 90.00° and 120.00°. The inequivalent atoms are Ac at (0.0000, 0.0000, 0.0000), Pr at (0.0000, 0.0000, 0.5408) and Pa at (0.0000, 0.0000, 0.7725).

The magnetization is 0.00 Bohr magnetons per cell. As for the crystal system: trigonal. The uncorrected energy comes out at -5.836 eV/atom. The calculation puts the energy of formation at 0.9 eV per formula unit. The density of states at the Fermi level comes out at 14.53 states/eV/cell.


Entry from the Alexandria database: crystalline NaAlZn6Ag at its relaxed geometry (PBE).

The structure belongs to space group Imma (No. 74); the cell edges are 7.146, 9.556 and 10.270 Å and the angles 90.00°, 90.00° and 90.00°. The inequivalent atoms are Na at (0.000, 0.250, 0.221), Al at (0.000, 0.000, 0.000), Zn at (0.000, 0.250, 0.534), Zn at (0.000, 0.250, 0.938), Zn at (0.180, 0.002, 0.370) and Ag at (0.250, 0.250, 0.750).

The magnetization is 0.00 Bohr magnetons per cell. As for the crystal system: orthorhombic. The uncorrected energy comes out at -1.565 eV/atom. The calculation puts the energy of formation at 1.5 eV per formula unit. The density of states at the Fermi level comes out at 8.81 states/eV/cell.


Entry from the Alexandria database: crystalline TbBiSeO2 at its relaxed geometry (PBE).

The structure belongs to space group P2_1/m (No. 11); the cell edges are 6.582, 4.048 and 7.745 Å and the angles 90.00°, 105.74° and 90.00°. The inequivalent atoms are Tb at (0.182, 0.250, 0.424), Bi at (0.191, 0.250, 0.912), Se at (0.444, 0.750, 0.715), O at (0.005, 0.750, 0.878) and O at (0.021, 0.750, 0.376).

The magnetization is 0.00 Bohr magnetons per cell. As for the crystal system: monoclinic. The value obtained for the formation energy (no corrections) is -2039 meV per atom. The uncorrected energy comes out at -6.422 eV/atom. The density of states at the Fermi level comes out at 0.00 states/eV/cell.